VASP calculation (PBE) on Tm3InAg3S8 after structural relaxation.

Structure (POSCAR):
```
Tm3InAg3S8
1.0
6.5236 -3.9344 0.0000
6.5236 3.9344 0.0000
-4.6002 0.0000 6.4736
Tm In Ag S
3 1 3 8
Cartesian
0.0000 0.0000 0.0000
0.9617 1.9672 3.2368
0.9617 -1.9672 3.2368
6.5236 0.0000 0.0000
3.2618 1.9672 0.0000
3.2618 -1.9672 0.0000
4.2235 0.0000 3.2368
5.4122 1.9297 1.4770
2.0306 0.0000 1.7516
-0.1056 0.0000 4.8099
3.0349 1.9297 4.9966
5.4122 -1.9297 1.4770
8.5527 0.0000 1.6636
6.4165 0.0000 4.7219
3.0349 -1.9297 4.9966
```

## Properties
**Formation energy from raw total energies**: -1065 meV/atom